# 1
## SrCd11 (PBE-GGA)

Data for a relaxed structure of SrCd11.

ρ, g cm⁻³: 7.89
Total DFT energy (no corrections), eV for the cell shown: -26.69
Symmetry: No. 141

Cell lengths 7.720, 9.333, 9.333 Å; angles 99.85, 65.57, 114.43 degrees
Atoms (fractional coordinates):
Cd (0.375, 0.250, 0.250)
Cd (0.928, 0.176, 0.417)
Cd (0.822, 0.917, 0.676)
Cd (0.500, 0.000, 0.000)
Cd (0.169, 0.824, 0.583)
Cd (0.655, 0.824, 0.417)
Cd (0.248, 0.417, 0.824)
Cd (0.095, 0.917, 0.324)
Cd (0.375, 0.750, 0.750)
Cd (0.875, 0.250, 0.750)
Cd (0.250, 0.500, 0.500)
Cd (0.502, 0.083, 0.676)
Cd (0.581, 0.676, 0.917)
Cd (0.375, 0.750, 0.250)
Cd (0.248, 0.176, 0.583)
Cd (0.822, 0.324, 0.083)
Cd (0.169, 0.417, 0.176)
Cd (0.655, 0.583, 0.176)
Cd (0.581, 0.083, 0.324)
Cd (0.095, 0.676, 0.083)
Cd (0.928, 0.583, 0.824)
Cd (0.502, 0.324, 0.917)
Sr (0.750, 0.500, 0.500)
Sr (0.000, 0.000, 0.000)

***

# 2
## Sr2Cd17 (PBE-GGA)

Data for a relaxed structure of Sr2Cd17.

ρ, g cm⁻³: 7.63
Total DFT energy (no corrections), eV for the cell shown: -21.92
Symmetry: No. 166

Cell lengths 7.744, 7.744, 7.744 Å; angles 82.74, 82.74, 82.74 degrees
Atoms (fractional coordinates):
Cd (0.702, 0.000, 0.298)
Cd (0.298, 0.000, 0.702)
Cd (0.161, 0.644, 0.644)
Cd (0.644, 0.644, 0.161)
Cd (0.000, 0.000, 0.500)
Cd (0.101, 0.101, 0.101)
Cd (0.899, 0.899, 0.899)
Cd (0.000, 0.702, 0.298)
Cd (0.839, 0.356, 0.356)
Cd (0.644, 0.161, 0.644)
Cd (0.298, 0.702, 0.000)
Cd (0.000, 0.500, 0.000)
Cd (0.356, 0.356, 0.839)
Cd (0.356, 0.839, 0.356)
Cd (0.000, 0.298, 0.702)
Cd (0.500, 0.000, 0.000)
Cd (0.702, 0.298, 0.000)
Sr (0.663, 0.663, 0.663)
Sr (0.337, 0.337, 0.337)

***

# 3
## Sr2Cd (PBE-GGA)

Data for a relaxed structure of Sr2Cd.

ρ, g cm⁻³: 1.30
Total DFT energy (no corrections), eV for the cell shown: -4.86
Symmetry: No. 227

Cell lengths 10.142, 10.142, 10.142 Å; angles 60.00, 60.00, 60.00 degrees
Atoms (fractional coordinates):
Sr (0.375, 0.875, 0.375)
Sr (0.375, 0.375, 0.875)
Sr (0.375, 0.375, 0.375)
Sr (0.875, 0.375, 0.375)
Cd (0.250, 0.250, 0.250)
Cd (0.500, 0.500, 0.500)

***

# 4
## Sr3Cd (PBE-GGA)

Data for a relaxed structure of Sr3Cd.

ρ, g cm⁻³: 3.53
Total DFT energy (no corrections), eV for the cell shown: -13.19
Symmetry: No. 63

Cell lengths 7.581, 7.581, 11.003 Å; angles 90.00, 90.00, 146.04 degrees
Atoms (fractional coordinates):
Sr (0.858, 0.142, 0.442)
Sr (0.858, 0.142, 0.058)
Sr (0.438, 0.562, 0.750)
Sr (0.142, 0.858, 0.558)
Sr (0.562, 0.438, 0.250)
Sr (0.142, 0.858, 0.942)
Cd (0.245, 0.755, 0.250)
Cd (0.755, 0.245, 0.750)

***

# 5
## Sr2Cd (PBE-GGA)

Data for a relaxed structure of Sr2Cd.

ρ, g cm⁻³: 3.72
Total DFT energy (no corrections), eV for the cell shown: -6.42
Symmetry: No. 227

Cell lengths 7.132, 7.132, 7.132 Å; angles 60.00, 60.00, 60.00 degrees
Atoms (fractional coordinates):
Cd (0.000, 0.000, 0.000)
Cd (0.250, 0.250, 0.250)
Sr (0.625, 0.625, 0.125)
Sr (0.625, 0.625, 0.625)
Sr (0.125, 0.625, 0.625)
Sr (0.625, 0.125, 0.625)

***

# 6
## SrCd4 (PBE-GGA)

Data for a relaxed structure of SrCd4.

ρ, g cm⁻³: 6.75
Energy relative to the lowest polymorph listed for this composition, meV per atom: 0
Symmetry: No. 194

Cell lengths 10.415, 10.415, 8.442 Å; angles 90.00, 90.00, 120.00 degrees
Atoms (fractional coordinates):
Sr (0.526, 0.474, 0.750)
Sr (0.474, 0.948, 0.250)
Sr (0.948, 0.474, 0.750)
Sr (0.526, 0.052, 0.750)
Sr (0.052, 0.526, 0.250)
Sr (0.474, 0.526, 0.250)
Cd (0.826, 0.174, 0.432)
Cd (0.667, 0.333, 0.060)
Cd (0.174, 0.826, 0.932)
Cd (0.174, 0.349, 0.568)
Cd (0.826, 0.651, 0.432)
Cd (0.114, 0.886, 0.250)
Cd (0.826, 0.174, 0.068)
Cd (0.651, 0.826, 0.932)
Cd (0.349, 0.174, 0.432)
Cd (0.886, 0.772, 0.750)
Cd (0.886, 0.114, 0.750)
Cd (0.667, 0.333, 0.440)
Cd (0.000, 0.000, 0.000)
Cd (0.333, 0.667, 0.940)
Cd (0.349, 0.174, 0.068)
Cd (0.772, 0.886, 0.250)
Cd (0.114, 0.228, 0.250)
Cd (0.174, 0.349, 0.932)
Cd (0.651, 0.826, 0.568)
Cd (0.174, 0.826, 0.568)
Cd (0.228, 0.114, 0.750)
Cd (0.000, 0.000, 0.500)
Cd (0.826, 0.651, 0.068)
Cd (0.333, 0.667, 0.560)